First-principles (GGA+U) data for an optimized crystal structure of ZrMnF6, as listed in Alexandria. Values from VASP.

The density of states at the Fermi level comes out at 0.00 states/eV/f.u. The space-group type is C2/m (12). The electronic total energy is -6.67 eV/atom.

Structure (Quantum ESPRESSO input):
```
&SYSTEM
  ibrav = 0, nat = 8, ntyp = 3
/
ATOMIC_SPECIES
Zr 91.22 Zr.upf
Mn 54.94 Mn.upf
F 19.00 F.upf
CELL_PARAMETERS angstrom
2.667 -4.450 0.000
2.667 4.450 0.000
-1.114 0.000 5.214
ATOMIC_POSITIONS crystal
Zr 0.000 0.000 0.000
Mn 0.500 0.500 0.500
F 0.090 0.383 0.236
F 0.246 0.246 0.753
F 0.383 0.090 0.236
F 0.617 0.910 0.764
F 0.754 0.754 0.247
F 0.910 0.617 0.764
```